(1)
First-principles (PBE-GGA) data for NiPtI2 after structural relaxation, as listed in the Alexandria database.

Cell: 8.340 8.340 8.340 Å, 27.10 27.10 27.10°
Fractional positions:
1 Ni 0.000 0.000 0.000
2 Pt 0.500 0.500 0.500
3 I 0.395 0.395 0.395
4 I 0.605 0.605 0.605

Summary:
Energy above the most stable polymorph in this dataset ... 0.145 eV/atom
Electronic total energy ... -3.328 eV per atom
Space-group type ... R-3m
Formation energy without anion corrections ... 155 kJ/mol of formula units

---

(2)
First-principles (PBE-GGA) data for NiPt2I after structural relaxation, as listed in the Alexandria database.

Cell: 9.937 9.937 9.937 Å, 157.59 157.59 31.90°
Fractional positions:
1 Ni 0.000 0.000 0.000
2 Ni 0.750 0.250 0.500
3 Pt 0.111 0.625 0.986
4 Pt 0.375 0.361 0.486
5 Pt 0.639 0.125 0.014
6 Pt 0.875 0.889 0.514
7 I 0.250 0.750 0.500
8 I 0.500 0.500 0.000

Summary:
Energy above the most stable polymorph in this dataset ... 0.000 eV/atom
Electronic total energy ... -4.447 eV per atom
Space-group type ... I-42d
Formation energy without anion corrections ... 157 kJ/mol of formula units

---

(3)
First-principles (PBE-GGA) data for NiPtI2 after structural relaxation, as listed in the Alexandria database.

Cell: 7.277 7.277 7.277 Å, 131.28 131.28 71.38°
Fractional positions:
1 Ni 0.000 0.000 0.000
2 Ni 0.750 0.250 0.500
3 Pt 0.250 0.750 0.500
4 Pt 0.500 0.500 0.000
5 I 0.103 0.625 0.978
6 I 0.375 0.353 0.478
7 I 0.647 0.125 0.022
8 I 0.875 0.897 0.522

Summary:
Energy above the most stable polymorph in this dataset ... 0.000 eV/atom
Electronic total energy ... -3.474 eV per atom
Space-group type ... I-42d
Formation energy without anion corrections ... 99 kJ/mol of formula units

---

(4)
First-principles (PBE-GGA) data for NiPtI2 after structural relaxation, as listed in the Alexandria database.

Cell: 4.970 4.970 4.970 Å, 60.00 60.00 60.00°
Fractional positions:
1 Ni 0.000 0.000 0.000
2 Pt 0.500 0.500 0.500
3 I 0.250 0.250 0.250
4 I 0.750 0.750 0.750

Summary:
Energy above the most stable polymorph in this dataset ... 0.594 eV/atom
Electronic total energy ... -2.879 eV per atom
Space-group type ... Fm-3m
Formation energy without anion corrections ... 329 kJ/mol of formula units

---

(5)
First-principles (PBE-GGA) data for Ni3PtI after structural relaxation, as listed in the Alexandria database.

Cell: 4.685 4.685 4.685 Å, 90.00 90.00 90.00°
Fractional positions:
1 Ni 0.000 0.000 0.500
2 Ni 0.000 0.500 0.000
3 Ni 0.500 0.000 0.000
4 Pt 0.000 0.000 0.000
5 I 0.500 0.500 0.500

Summary:
Energy above the most stable polymorph in this dataset ... 0.000 eV/atom
Electronic total energy ... -4.011 eV per atom
Space-group type ... Pm-3m
Formation energy without anion corrections ... 471 kJ/mol of formula units

---

(6)
First-principles (PBE-GGA) data for Rb2NiPtI6 after structural relaxation, as listed in the Alexandria database.

Cell: 7.890 7.890 7.890 Å, 120.07 120.07 89.88°
Fractional positions:
1 Rb 0.250 0.750 0.500
2 Rb 0.750 0.250 0.500
3 Ni 0.000 0.000 0.000
4 Pt 0.500 0.500 0.000
5 I 0.247 0.247 0.494
6 I 0.247 0.753 0.000
7 I 0.248 0.248 0.000
8 I 0.752 0.752 0.000
9 I 0.753 0.247 0.000
10 I 0.753 0.753 0.506

Summary:
Electronic total energy ... -2.881 eV per atom
Space-group type ... I4/mmm
Formation energy without anion corrections ... -555 kJ/mol of formula units

---

(7)
First-principles (PBE-GGA) data for NiSbPtI2 after structural relaxation, as listed in the Alexandria database.

Cell: 5.185 5.185 4.885 Å, 90.00 90.00 90.00°
Fractional positions:
1 Ni 0.000 0.000 0.000
2 Sb 0.000 0.000 0.500
3 Pt 0.500 0.500 0.500
4 I 0.000 0.500 0.000
5 I 0.500 0.000 0.000

Summary:
Energy above the most stable polymorph in this dataset ... 0.000 eV/atom
Electronic total energy ... -3.037 eV per atom
Space-group type ... P4/mmm
Formation energy without anion corrections ... 373 kJ/mol of formula units

---

(8)
First-principles (PBE-GGA) data for NiSbPtI2 after structural relaxation, as listed in the Alexandria database.

Cell: 5.598 5.598 5.116 Å, 90.00 90.00 90.00°
Fractional positions:
1 Ni 0.000 0.000 0.000
2 Sb 0.500 0.500 0.000
3 Pt 0.500 0.500 0.500
4 I 0.000 0.500 0.500
5 I 0.500 0.000 0.500

Summary:
Energy above the most stable polymorph in this dataset ... 0.045 eV/atom
Electronic total energy ... -2.992 eV per atom
Space-group type ... P4/mmm
Formation energy without anion corrections ... 394 kJ/mol of formula units